[1]
DFT (PBE) results for a geometry-optimized CeNd2Ho4 structure.

Summary:
distance to the lowest polymorph of the same formula: 0.5345 eV/atom
energy relative to the elements: 577 meV/atom
SG: No. 139
total energy: -29.74 eV/cell
crystal system: tetragonal

Lattice parameters (Å, degrees): 5.457 5.457 9.352 106.96 106.96 90.00
Atoms (fractional coordinates):
Ho: 0.500 0.000 0.000
Ho: 0.000 0.500 0.000
Ho: 0.171 0.171 0.343
Ho: 0.829 0.829 0.657
Ce: 0.000 0.000 0.000
Nd: 0.374 0.374 0.749
Nd: 0.626 0.626 0.251


[2]
DFT (PBE) results for a geometry-optimized CeNd6Ho2 structure.

Summary:
energy relative to the elements: 148 meV/atom
SG: No. 14
total energy: -84.73 eV/cell
crystal system: monoclinic

Lattice parameters (Å, degrees): 9.931 6.300 9.817 87.75 90.00 90.00
Last column: magnetic moment on the atom in μB.
Atoms (fractional coordinates):
Nd: 0.355 0.859 0.518  0.00
Nd: 0.145 0.359 0.018  0.00
Nd: 0.610 0.632 0.302  0.02
Nd: 0.225 0.888 0.849  0.00
Nd: 0.645 0.141 0.482  0.00
Nd: 0.725 0.612 0.651  0.00
Nd: 0.890 0.132 0.802  0.02
Nd: 0.275 0.388 0.349  0.00
Nd: 0.775 0.112 0.151  0.00
Nd: 0.855 0.641 0.982  0.00
Nd: 0.110 0.868 0.198  0.02
Nd: 0.390 0.368 0.698  0.02
Ce: 0.000 0.000 0.500  0.80
Ce: 0.500 0.500 0.000  0.80
Ho: 0.578 0.986 0.849  0.04
Ho: 0.922 0.486 0.349  0.04
Ho: 0.422 0.014 0.151  0.04
Ho: 0.078 0.514 0.651  0.04


[3]
DFT (PBE) results for a geometry-optimized CeNdHo3 structure.

Summary:
distance to the lowest polymorph of the same formula: 0.0148 eV/atom
energy relative to the elements: 66 meV/atom
SG: No. 2
total energy: -48.21 eV/cell
crystal system: triclinic

Lattice parameters (Å, degrees): 6.175 9.420 9.406 141.86 77.28 109.34
Last column: magnetic moment on the atom in μB.
Atoms (fractional coordinates):
Nd: 0.452 0.900 0.747  0.01
Nd: 0.548 0.100 0.253  0.01
Ho: 0.853 0.704 0.754  0.04
Ho: 0.650 0.302 0.752  0.07
Ho: 0.350 0.698 0.248  0.07
Ho: 0.147 0.296 0.246  0.04
Ho: 0.242 0.499 0.752  0.06
Ho: 0.758 0.501 0.248  0.06
Ce: 0.953 0.904 0.259  0.77
Ce: 0.047 0.096 0.741  0.77


[4]
DFT (PBE) results for a geometry-optimized CeNd3Ho structure.

Summary:
energy relative to the elements: 160 meV/atom
SG: No. 12
total energy: -96.06 eV/cell
crystal system: monoclinic

Lattice parameters (Å, degrees): 8.457 9.594 9.594 60.05 92.32 92.32
Last column: magnetic moment on the atom in μB.
Atoms (fractional coordinates):
Nd: 0.977 0.218 0.081  0.02
Nd: 0.399 0.691 0.191  0.00
Nd: 0.101 0.809 0.309  0.00
Nd: 0.023 0.419 0.282  0.02
Nd: 0.523 0.919 0.782  0.02
Nd: 0.899 0.191 0.691  0.00
Nd: 0.977 0.581 0.718  0.02
Nd: 0.601 0.309 0.809  0.00
Nd: 0.477 0.718 0.581  0.02
Nd: 0.477 0.081 0.218  0.02
Nd: 0.523 0.282 0.419  0.02
Nd: 0.023 0.782 0.919  0.02
Ce: 0.162 0.021 0.521  0.69
Ce: 0.338 0.479 0.979  0.69
Ce: 0.838 0.979 0.479  0.69
Ce: 0.662 0.521 0.021  0.69
Ho: 0.750 0.581 0.419  0.01
Ho: 0.250 0.081 0.919  0.01
Ho: 0.250 0.419 0.581  0.01
Ho: 0.750 0.919 0.081  0.01


[5]
DFT (PBE) results for a geometry-optimized CeNd7Ho12 structure.

Summary:
energy relative to the elements: 239 meV/atom
SG: No. 148
total energy: -89.47 eV/cell
crystal system: trigonal

Lattice parameters (Å, degrees): 8.719 8.719 8.719 90.20 90.20 90.20
Atoms (fractional coordinates):
Ce: 0.000 0.000 0.000
Nd: 0.037 0.330 0.935
Nd: 0.935 0.037 0.330
Nd: 0.500 0.500 0.500
Nd: 0.065 0.963 0.670
Nd: 0.670 0.065 0.963
Nd: 0.330 0.935 0.037
Nd: 0.963 0.670 0.065
Ho: 0.371 0.225 0.764
Ho: 0.455 0.126 0.358
Ho: 0.642 0.545 0.874
Ho: 0.764 0.371 0.225
Ho: 0.545 0.874 0.642
Ho: 0.775 0.236 0.629
Ho: 0.126 0.358 0.455
Ho: 0.236 0.629 0.775
Ho: 0.225 0.764 0.371
Ho: 0.358 0.455 0.126
Ho: 0.629 0.775 0.236
Ho: 0.874 0.642 0.545


[6]
DFT (PBE) results for a geometry-optimized CeNd2Ho5 structure.

Summary:
distance to the lowest polymorph of the same formula: 0.0000 eV/atom
energy relative to the elements: 44 meV/atom
SG: No. 55
total energy: -76.01 eV/cell
crystal system: orthorhombic

Lattice parameters (Å, degrees): 5.052 7.119 14.250 90.00 90.00 90.00
Last column: magnetic moment on the atom in μB.
Atoms (fractional coordinates):
Ho: 0.000 0.000 0.000  0.01
Ho: 0.000 0.495 0.250  0.00
Ho: 0.000 0.005 0.750  0.00
Ho: 0.500 0.257 0.876  0.02
Ho: 0.500 0.243 0.376  0.02
Ho: 0.500 0.743 0.124  0.02
Ho: 0.500 0.757 0.624  0.02
Ho: 0.000 0.505 0.750  0.00
Ho: 0.000 0.500 0.500  0.01
Ho: 0.000 0.995 0.250  0.00
Ce: 0.000 0.000 0.500  0.72
Ce: 0.000 0.500 0.000  0.72
Nd: 0.500 0.751 0.376  0.00
Nd: 0.500 0.749 0.876  0.00
Nd: 0.500 0.251 0.124  0.00
Nd: 0.500 0.249 0.624  0.00